DFT (PBE) results for a relaxed Hf2AgPdN crystal.

Its density of states at the Fermi level is 0.67 states/eV per atom. Its magnetic moment is 0.007 μB/atom. The value obtained for the energy relative to the elements, uncorrected is 1471 meV per atom. The value obtained for the calculated total energy is -5.78 eV/atom.

```
Hf2AgPdN
1.0
-2.637 -3.926 1.350
4.097 -2.305 1.298
-0.407 1.836 4.544
N Ag Pd Hf
1 1 1 2
Direct
0.500 0.500 0.500 N
0.000 0.500 0.000 Ag
0.000 0.000 0.000 Pd
0.000 0.000 0.500 Hf
0.500 0.000 0.000 Hf
```



DFT (PBE) results for a relaxed U2CdSi3Pt4 crystal.

Its density of states at the Fermi level is 1.85 states/eV per atom. Its magnetic moment is 0.435 μB/atom. The value obtained for the energy relative to the elements, uncorrected is -613 meV per atom. The value obtained for the calculated total energy is -7.01 eV/atom.

```
U2CdSi3Pt4
1.0
-3.652 -1.756 0.141
0.666 -1.678 -3.631
4.470 -8.900 4.933
Cd Pt Si U
1 4 3 2
Direct
0.500 0.500 0.500 Cd
0.500 0.000 0.662 Pt
0.000 0.000 0.000 Pt
0.500 0.500 0.000 Pt
0.000 0.500 0.338 Pt
0.500 0.000 0.873 Si
0.000 0.000 0.500 Si
0.000 0.500 0.127 Si
0.500 0.000 0.240 U
0.000 0.500 0.760 U
```



DFT (PBE) results for a relaxed ZrAlCuHg2 crystal.

Its density of states at the Fermi level is 0.65 states/eV per atom. Its magnetic moment is 0.000 μB/atom. The value obtained for the calculated total energy is -3.02 eV/atom. The formation energy comes out at 0.3741 eV per atom.

```
ZrAlCuHg2
1.0
4.845 0.000 0.000
0.000 4.560 0.000
0.000 0.000 4.845
Zr Cu Hg Al
1 1 2 1
Direct
0.500 0.500 0.500 Zr
0.000 0.000 0.000 Cu
0.500 0.000 0.000 Hg
0.000 0.000 0.500 Hg
0.000 0.500 0.000 Al
```



DFT (PBE) results for a relaxed K2Mg crystal.

The calculation puts the energy relative to the lowest polymorph listed for this composition at 10.7 kJ per mole of atoms. Its density of states at the Fermi level is 0.52 states/eV per atom. Its magnetic moment is 0.000 μB/atom. The value obtained for the calculated total energy is -1.02 eV/atom. The formation energy comes out at 0.2460 eV per atom.

```
K2Mg
1.0
6.314 0.000 0.000
3.157 5.468 0.000
3.157 1.823 5.156
K Mg
2 1
Direct
0.250 0.250 0.250 K
0.750 0.750 0.750 K
0.000 0.000 0.000 Mg
```